Density functional theory data (PBE) for a relaxed structure of Li4As4Pb3.

The structure in extended XYZ format:
```
11
Lattice="4.291 0.000 -1.067 -0.860 6.122 -3.457 -0.166 0.676 8.493" Properties=species:S:1:pos:R:3 pbc="T T T"
As 0.226 4.642 0.908
As 1.988 1.122 -1.167
As 3.040 2.156 3.061
As 1.443 5.000 -3.357
Pb 0.411 0.990 1.651
Pb 2.855 5.808 2.318
Pb -0.430 3.061 -1.729
Li 2.091 5.609 -0.753
Li 1.175 1.188 4.722
Li 0.830 3.644 3.335
Li 2.436 3.154 0.634
```

The value obtained for the total energy is -3.743 eV per atom. The value obtained for the calculated formation energy is -345 meV per atom. As for the crystal system: orthorhombic. The value obtained for the density of states at the Fermi level is 1.9 states/eV/cell.

---

Density functional theory data (PBE) for a relaxed structure of Li2AsPb.

The structure in extended XYZ format:
```
4
Lattice="4.354 0.000 0.000 0.000 4.101 0.018 0.000 -0.030 4.496" Properties=species:S:1:pos:R:3 pbc="T T T"
Pb 0.000 2.553 1.661
As 2.177 2.534 4.136
Li 2.177 0.505 1.565
Li 0.000 0.484 3.906
```

The value obtained for the total energy is -3.420 eV per atom. The value obtained for the calculated formation energy is -374 meV per atom. As for the crystal system: monoclinic. Its polymorph energy (0 for the lowest one) is 0 meV/atom. The value obtained for the density of states at the Fermi level is 0.7 states/eV/cell.

---

Density functional theory data (PBE) for a relaxed structure of Li2AsPb.

The structure in extended XYZ format:
```
4
Lattice="3.415 0.000 0.000 0.000 3.415 0.000 0.000 0.000 6.722" Properties=species:S:1:pos:R:3 pbc="T T T"
Pb 1.707 1.707 1.681
Li 0.000 0.000 6.394
Li 0.000 0.000 3.689
As 1.707 1.707 5.042
```

The value obtained for the total energy is -3.384 eV per atom. The value obtained for the calculated formation energy is -337 meV per atom. As for the crystal system: tetragonal. Its polymorph energy (0 for the lowest one) is 37 meV/atom. The value obtained for the density of states at the Fermi level is 1.6 states/eV/cell.